Entry 1:
DFT (meta-GGA SCAN) results for a crystal of NaCuH3 relaxed with PBEsol.

Cell lengths 3.450, 3.450, 3.450 Å; angles 90.00, 90.00, 90.00 degrees
Atoms (fractional coordinates):
H  0.500  0.000  0.000
Na  0.500  0.500  0.500
Cu  0.000  0.000  0.000
H  0.000  0.000  0.500
H  0.000  0.500  0.000

ΔE to the lowest computed polymorph in eV per formula unit: 0.02
SG: No. 221



Entry 2:
DFT (meta-GGA SCAN) results for a crystal of RbMg3Cl relaxed with PBEsol.

Cell lengths 5.674, 5.674, 5.674 Å; angles 90.00, 90.00, 90.00 degrees
Atoms (fractional coordinates):
Mg  0.500  0.000  0.000
Mg  0.000  0.500  0.000
Cl  0.000  0.000  0.000
Rb  0.500  0.500  0.500
Mg  0.000  0.000  0.500

Uncorrected formation energy in kJ per mole of atoms: 12.4
SG: No. 221



Entry 3:
DFT (meta-GGA SCAN) results for a crystal of Y2TcPt relaxed with PBEsol.

Cell lengths 3.375, 3.375, 7.847 Å; angles 90.00, 90.00, 90.00 degrees
Atoms (fractional coordinates):
Tc  0.500  0.500  0.696
Pt  0.000  0.000  0.550
Y  0.000  0.000  0.932
Y  0.500  0.500  0.322

SG: No. 99
Formation energy from the elements in eV per atom: -0.19



Entry 4:
DFT (meta-GGA SCAN) results for a crystal of Tc2P relaxed with PBEsol.

Cell lengths 7.628, 7.628, 7.628 Å; angles 60.00, 60.00, 60.00 degrees
Atoms (fractional coordinates):
Tc  0.930  0.930  0.570
Tc  0.570  0.930  0.930
Tc  0.570  0.930  0.570
Tc  0.125  0.625  0.125
P  0.290  0.903  0.903
Tc  0.125  0.125  0.625
Tc  0.930  0.570  0.930
Tc  0.125  0.125  0.125
P  0.903  0.903  0.290
Tc  0.320  0.320  0.680
Tc  0.680  0.320  0.320
P  0.347  0.960  0.347
P  0.347  0.347  0.347
P  0.903  0.903  0.903
Tc  0.320  0.680  0.320
Tc  0.570  0.570  0.930
P  0.347  0.347  0.960
Tc  0.680  0.680  0.320
P  0.960  0.347  0.347
Tc  0.320  0.680  0.680
Tc  0.930  0.570  0.570
Tc  0.625  0.125  0.125
Tc  0.680  0.320  0.680
P  0.903  0.290  0.903

ΔE to the lowest computed polymorph in eV per formula unit: 0.31
SG: No. 227
Formation energy from the elements in eV per atom: -0.36



Entry 5:
DFT (meta-GGA SCAN) results for a crystal of BeIr2SeN relaxed with PBEsol.

Cell lengths 3.070, 4.487, 4.487 Å; angles 90.00, 90.00, 90.00 degrees
Atoms (fractional coordinates):
Ir  0.000  0.500  0.000
Se  0.500  0.500  0.500
N  0.500  0.000  0.000
Ir  0.000  0.000  0.500
Be  0.000  0.000  0.000

Uncorrected formation energy in kJ per mole of atoms: 92.6
SG: No. 123



Entry 6:
DFT (meta-GGA SCAN) results for a crystal of TeRu2W relaxed with PBEsol.

Cell lengths 4.449, 4.449, 4.449 Å; angles 60.00, 60.00, 60.00 degrees
Atoms (fractional coordinates):
Ru  0.000  0.000  0.000
W  0.250  0.250  0.250
Te  0.500  0.500  0.500
Ru  0.750  0.750  0.750

Uncorrected formation energy in kJ per mole of atoms: 54.2
SG: No. 216



Entry 7:
DFT (meta-GGA SCAN) results for a crystal of CoNi6Pt relaxed with PBEsol.

Cell lengths 6.119, 6.119, 10.017 Å; angles 90.00, 90.00, 109.63 degrees
Atoms (fractional coordinates):
Ni  0.254  0.746  0.243
Co  0.500  0.500  0.247
Ni  0.618  0.872  0.120
Ni  0.380  0.133  0.370
Ni  0.133  0.380  0.630
Ni  0.128  0.382  0.120
Co  0.750  0.250  0.000
Ni  0.133  0.380  0.370
Ni  0.500  0.500  0.500
Pt  0.000  0.000  0.753
Ni  0.380  0.133  0.630
Ni  0.382  0.128  0.120
Ni  0.128  0.382  0.880
Ni  0.620  0.867  0.370
Pt  0.751  0.249  0.500
Ni  0.000  0.000  0.000
Ni  0.382  0.128  0.880
Ni  0.746  0.254  0.243
Ni  0.254  0.746  0.757
Pt  0.249  0.751  0.500
Ni  0.872  0.618  0.880
Ni  0.500  0.500  0.000
Ni  0.872  0.618  0.120
Ni  0.620  0.867  0.630
Pt  0.000  0.000  0.247
Co  0.500  0.500  0.753
Ni  0.618  0.872  0.880
Ni  0.867  0.620  0.630
Ni  0.867  0.620  0.370
Ni  0.746  0.254  0.757
Co  0.250  0.750  0.000
Ni  0.000  0.000  0.500

SG: No. 65
Formation energy from the elements in eV per atom: -0.05



Entry 8:
DFT (meta-GGA SCAN) results for a crystal of CrTe2Rh relaxed with PBEsol.

Cell lengths 4.792, 4.792, 4.792 Å; angles 60.00, 60.00, 60.00 degrees
Atoms (fractional coordinates):
Te  0.000  0.000  0.000
Rh  0.250  0.250  0.250
Te  0.750  0.750  0.750
Cr  0.500  0.500  0.500

Uncorrected formation energy in kJ per mole of atoms: 45.8
ΔE to the lowest computed polymorph in eV per formula unit: 1.58
SG: No. 216



Ordered density of states at the Fermi level results: 0.9; 3.6; 4.6; 14.1; 4.1; 3.8; 28.5; 3.7; unit states/eV/cell.
Ordered magnetic moment results: 0.0; 0.0; 0.0; 0.0; 0.0; 0.0; 27.7; 3.5; unit μB/cell.